The following is a DFT calculation (PBE-GGA) of a relaxed structure of LaTb2Tm.

- Fermi-level density of states (states/eV per atom) = 1.6859
- relative energy among the computed polymorphs (meV per atom) = 23.6

a = 5.059 Å, b = 5.059 Å, c = 5.125 Å
α = 90.00°, β = 90.00°, γ = 90.00°
Space group P4/mmm (No. 123)
One atom of each set of equivalent atoms:
La (0.000, 0.000, 0.000) [1 per cell]
Tb (0.000, 0.500, 0.500) [2 per cell]
Tm (0.500, 0.500, 0.000) [1 per cell]

The following is a DFT calculation (PBE-GGA) of a relaxed structure of Cu2GeAu2.

- Fermi-level density of states (states/eV per atom) = 0.3751
- relative energy among the computed polymorphs (meV per atom) = 51.2

a = 7.552 Å, b = 7.552 Å, c = 2.899 Å
α = 90.00°, β = 90.00°, γ = 90.00°
Space group P4/mbm (No. 127)
One atom of each set of equivalent atoms:
Cu (0.148, 0.352, 0.000) [4 per cell]
Ge (0.000, 0.000, 0.500) [2 per cell]
Au (0.149, 0.649, 0.500) [4 per cell]

The following is a DFT calculation (PBE-GGA) of a relaxed structure of TbCo4Si12.

- formation energy without anion corrections (eV/atom) = -0.17
- Fermi-level density of states (states/eV per atom) = 0.6872

a = 8.018 Å, b = 8.018 Å, c = 8.018 Å
α = 90.00°, β = 90.00°, γ = 90.00°
Space group Im-3 (No. 204)
One atom of each set of equivalent atoms:
Tb (0.000, 0.000, 0.000) [2 per cell]
Co (0.250, 0.250, 0.250) [8 per cell]
Si (0.000, 0.348, 0.167) [24 per cell]

The following is a DFT calculation (PBE-GGA) of a relaxed structure of ReSeCl.

- formation energy without anion corrections (eV/atom) = -0.57
- Fermi-level density of states (states/eV per atom) = 0.0000
- relative energy among the computed polymorphs (meV per atom) = 0.0

a = 11.662 Å, b = 15.401 Å, c = 11.341 Å
α = 90.00°, β = 90.00°, γ = 90.00°
Space group C222_1 (No. 20)
One atom of each set of equivalent atoms:
Re (0.000, 0.125, 0.250) [4 per cell]
Re (0.000, 0.368, 0.250) [4 per cell]
Re (0.071, 0.246, 0.397) [8 per cell]
Re (0.142, 0.246, 0.176) [8 per cell]
Se (0.068, 0.133, 0.037) [8 per cell]
Se (0.070, 0.362, 0.037) [8 per cell]
Se (0.207, 0.131, 0.322) [8 per cell]
Cl (0.000, 0.030, 0.750) [4 per cell]
Cl (0.000, 0.480, 0.750) [4 per cell]
Cl (0.158, 0.255, 0.598) [8 per cell]
Cl (0.200, 0.364, 0.319) [8 per cell]

| no. | total moment (μB per atom) |
| --- | --- |
| 1 | 0.00 |
| 2 | 0.00 |
| 3 | 0.00 |
| 4 | 0.00 |